No. 1
Crystalline CaPr3Pd8 at its relaxed geometry. Source: the Alexandria database, functional GGA-PBE.

As for the density of states at the Fermi level: 0.697 states/eV/atom. Its formation enthalpy at 0 K is -744 meV per atom. The total moment comes out at 0.00 Bohr magnetons per cell.

Structure (CIF):
```
data_CaPr3Pd8
_chemical_formula_sum 'Ca3 Pr9 Pd24'
_cell_length_a 5.5348
_cell_length_b 5.5348
_cell_length_c 27.0717
_cell_angle_alpha 90.00
_cell_angle_beta 90.00
_cell_angle_gamma 120.00
_space_group_name_H-M_alt 'R 3 m'
_space_group_IT_number 160
_space_group_name_Hall 'R 3 -2"'
loop_
_atom_site_label
_atom_site_type_symbol
_atom_site_fract_x
_atom_site_fract_y
_atom_site_fract_z
Ca1 Ca 0.0000 0.0000 0.0000
Pr1 Pr 0.0000 0.0000 0.1238
Pr2 Pr 0.0000 0.0000 0.5026
Pr3 Pr 0.0000 0.0000 0.6293
Pd1 Pd 0.0000 0.0000 0.3143
Pd2 Pd 0.0000 0.0000 0.8140
Pd3 Pd 0.0013 0.5006 0.0642
Pd4 Pd 0.1669 0.3338 0.8972
```

---

No. 2
Crystalline ZrCrS3 at its relaxed geometry. Source: the Alexandria database, functional GGA-PBE.

The polymorph energy (0 for the lowest one) is 0.00 kJ per mole of atoms. As for the density of states at the Fermi level: 0.237 states/eV/atom. For the uncorrected formation energy, the calculation gives -97.3 kJ/mol of atoms. The total moment comes out at 12.44 Bohr magnetons per cell.

Structure (CIF):
```
data_ZrCrS3
_chemical_formula_sum 'Zr4 Cr4 S12'
_cell_length_a 7.346
_cell_length_b 6.468
_cell_length_c 7.794
_cell_angle_alpha 90.00
_cell_angle_beta 103.00
_cell_angle_gamma 90.00
_space_group_name_H-M_alt 'P 1 21/c 1'
_space_group_IT_number 14
loop_
_space_group_symop_operation_xyz
'x,y,z'
'-x,-y,-z'
'-x,y+1/2,-z+1/2'
'x,-y+1/2,z+1/2'
loop_
_atom_site_label
_atom_site_type_symbol
_atom_site_fract_x
_atom_site_fract_y
_atom_site_fract_z
Zr1 Zr 0.074 0.062 0.202
Cr1 Cr 0.430 0.731 0.560
S1 S 0.111 0.697 0.056
S2 S 0.255 0.117 0.932
S3 S 0.423 0.548 0.815
```

---

No. 3
Crystalline KNi2Pb at its relaxed geometry. Source: the Alexandria database, functional GGA-PBE.

As for the density of states at the Fermi level: 0.370 states/eV/atom. Its formation enthalpy at 0 K is 146 meV per atom. The total moment comes out at 0.00 Bohr magnetons per cell.

Structure (CIF):
```
data_KNi2Pb
_chemical_formula_sum 'K3 Ni6 Pb3'
_cell_length_a 4.4593
_cell_length_b 4.4593
_cell_length_c 18.0660
_cell_angle_alpha 90.00
_cell_angle_beta 90.00
_cell_angle_gamma 120.00
_space_group_name_H-M_alt 'R -3 m'
_space_group_IT_number 166
_space_group_name_Hall '-R 3 2"'
loop_
_atom_site_label
_atom_site_type_symbol
_atom_site_fract_x
_atom_site_fract_y
_atom_site_fract_z
K1 K 0.0000 0.0000 0.0000
Ni1 Ni 0.0000 0.0000 0.1752
Pb1 Pb 0.0000 0.0000 0.5000
```

---

No. 4
Crystalline BaEr3Pd at its relaxed geometry. Source: the Alexandria database, functional GGA-PBE.

As for the density of states at the Fermi level: 1.362 states/eV/atom. Its formation enthalpy at 0 K is -195 meV per atom. The total moment comes out at 0.00 Bohr magnetons per cell.

Structure (CIF):
```
data_BaEr3Pd
_chemical_formula_sum 'Ba1 Er3 Pd1'
_cell_length_a 5.562
_cell_length_b 5.562
_cell_length_c 5.562
_cell_angle_alpha 90.00
_cell_angle_beta 90.00
_cell_angle_gamma 90.00
_space_group_name_H-M_alt 'P m -3 m'
_space_group_IT_number 221
_space_group_name_Hall '-P 4 2 3'
loop_
_atom_site_label
_atom_site_type_symbol
_atom_site_fract_x
_atom_site_fract_y
_atom_site_fract_z
Ba1 Ba 0.000 0.000 0.000
Er1 Er 0.000 0.500 0.500
Pd1 Pd 0.500 0.500 0.500
```